Model P:
Compound: NaLuBi2
Source: the Alexandria database
Functional: PBE-GGA
Structure: relaxed

## Properties
M_tot	0.00	μB per formula unit

a = 4.254 Å, b = 5.161 Å, c = 5.161 Å
α = 90.00°, β = 90.00°, γ = 90.00°
Fractional coordinates of all 4 atoms:
Na 0.500 0.000 0.000
Lu 0.500 0.500 0.500
Bi 0.000 0.000 0.500
Bi 0.000 0.500 0.000

***

Model Q:
Compound: NaLuBi2
Source: the Alexandria database
Functional: PBE-GGA
Structure: relaxed

## Properties
M_tot	0.00	μB per formula unit

a = 3.620 Å, b = 3.620 Å, c = 8.971 Å
α = 90.00°, β = 90.00°, γ = 90.00°
Fractional coordinates of all 4 atoms:
Na 0.500 0.500 0.000
Lu 0.500 0.500 0.500
Bi 0.000 0.000 0.736
Bi 0.000 0.000 0.264

***

Last place for stability: model P

***

Model P:
Compound: NdLu2Bi
Source: the Alexandria database
Functional: PBE-GGA
Structure: relaxed

## Properties
M_tot	0.00	μB per formula unit

a = 3.987 Å, b = 3.987 Å, c = 7.521 Å
α = 90.00°, β = 90.00°, γ = 90.00°
Fractional coordinates of all 4 atoms:
Lu 0.000 0.000 0.725
Lu 0.000 0.000 0.275
Nd 0.500 0.500 0.000
Bi 0.500 0.500 0.500

***

Model Q:
Compound: NdLu2Bi
Source: the Alexandria database
Functional: PBE-GGA
Structure: relaxed

## Properties
M_tot	0.04	μB per formula unit

a = 4.879 Å, b = 4.874 Å, c = 4.874 Å
α = 90.00°, β = 90.00°, γ = 90.00°
Fractional coordinates of all 4 atoms:
Lu 0.000 0.000 0.500
Lu 0.000 0.500 0.000
Nd 0.500 0.500 0.500
Bi 0.500 0.000 0.000

***

Last place for stability: model P

***

Model P:
Compound: LuNi2Bi
Source: the Alexandria database
Functional: PBE-GGA
Structure: relaxed

## Properties
M_tot	0.00	μB per formula unit

a = 3.646 Å, b = 4.450 Å, c = 4.450 Å
α = 90.00°, β = 90.00°, γ = 90.00°
Fractional coordinates of all 4 atoms:
Ni 0.000 0.000 0.500
Ni 0.000 0.500 0.000
Lu 0.500 0.500 0.500
Bi 0.500 0.000 0.000

***

Model Q:
Compound: LuNi2Bi
Source: the Alexandria database
Functional: PBE-GGA
Structure: relaxed

## Properties
M_tot	0.00	μB per formula unit

a = 4.631 Å, b = 4.631 Å, c = 4.631 Å
α = 60.00°, β = 60.00°, γ = 60.00°
Fractional coordinates of all 4 atoms:
Ni 0.250 0.250 0.250
Ni 0.750 0.750 0.750
Lu 0.000 0.000 0.000
Bi 0.500 0.500 0.500

***

Last place for stability: model P

***

Model P:
Compound: LuPaBi2
Source: the Alexandria database
Functional: PBE-GGA
Structure: relaxed

## Properties
M_tot	1.65	μB per formula unit

a = 5.415 Å, b = 5.415 Å, c = 5.415 Å
α = 60.00°, β = 60.00°, γ = 60.00°
Last column: magnetic moment on the atom in μB.
Fractional coordinates of all 4 atoms:
Pa 0.000 0.000 0.000  0.96
Lu 0.500 0.500 0.500  0.30
Bi 0.250 0.250 0.250  -0.05
Bi 0.750 0.750 0.750  -0.05

***

Model Q:
Compound: LuPaBi2
Source: the Alexandria database
Functional: PBE-GGA
Structure: relaxed

## Properties
M_tot	1.51	μB per formula unit

a = 3.904 Å, b = 5.365 Å, c = 5.365 Å
α = 90.00°, β = 90.00°, γ = 90.00°
Last column: magnetic moment on the atom in μB.
Fractional coordinates of all 4 atoms:
Pa 0.500 0.500 0.500  0.92
Lu 0.500 0.000 0.000  0.23
Bi 0.000 0.000 0.500  -0.04
Bi 0.000 0.500 0.000  -0.04

***

Model R:
Compound: LuPaBi2
Source: the Alexandria database
Functional: PBE-GGA
Structure: relaxed

## Properties
M_tot	1.40	μB per formula unit

a = 4.419 Å, b = 4.419 Å, c = 7.803 Å
α = 73.55°, β = 73.55°, γ = 60.00°
Last column: magnetic moment on the atom in μB.
Fractional coordinates of all 4 atoms:
Pa 0.000 0.000 0.000  1.20
Lu 0.500 0.500 0.500  -0.01
Bi 0.247 0.247 0.260  -0.03
Bi 0.753 0.753 0.740  -0.03

***

Last place for stability: model P

***

Model P:
Compound: LuPaBi
Source: the Alexandria database
Functional: PBE-GGA
Structure: relaxed

## Properties
M_tot	1.02	μB per formula unit

a = 3.908 Å, b = 3.908 Å, c = 6.238 Å
α = 108.25°, β = 108.25°, γ = 90.00°
Last column: magnetic moment on the atom in μB.
Fractional coordinates of all 3 atoms:
Pa 0.942 0.942 0.885  0.73
Lu 0.630 0.630 0.259  0.11
Bi 0.278 0.278 0.556  -0.02

***

Model Q:
Compound: LuPaBi
Source: the Alexandria database
Functional: PBE-GGA
Structure: relaxed

## Properties
M_tot	1.50	μB per formula unit

a = 3.406 Å, b = 5.380 Å, c = 5.380 Å
α = 120.00°, β = 90.00°, γ = 90.00°
Last column: magnetic moment on the atom in μB.
Fractional coordinates of all 3 atoms:
Pa 0.048 0.000 0.000  0.96
Lu 0.568 0.667 0.333  0.21
Bi 0.384 0.333 0.667  0.00

***

Last place for stability: model Q

***

Model P:
Compound: Lu2BiPb
Source: the Alexandria database
Functional: PBE-GGA
Structure: relaxed

## Properties
M_tot	0.00	μB per formula unit

a = 4.018 Å, b = 4.018 Å, c = 6.885 Å
α = 90.00°, β = 90.00°, γ = 90.00°
Fractional coordinates of all 4 atoms:
Pb 0.500 0.500 0.500
Lu 0.000 0.000 0.753
Lu 0.000 0.000 0.247
Bi 0.500 0.500 0.000

***

Model Q:
Compound: Lu2BiPb
Source: the Alexandria database
Functional: PBE-GGA
Structure: relaxed

## Properties
M_tot	0.00	μB per formula unit

a = 5.418 Å, b = 5.418 Å, c = 5.418 Å
α = 60.00°, β = 60.00°, γ = 60.00°
Fractional coordinates of all 4 atoms:
Pb 0.500 0.500 0.500
Lu 0.250 0.250 0.250
Lu 0.750 0.750 0.750
Bi 0.000 0.000 0.000

***

Last place for stability: model Q

***

Model P:
Compound: LuBiPb2
Source: the Alexandria database
Functional: PBE-GGA
Structure: relaxed

## Properties
M_tot	0.00	μB per formula unit

a = 3.472 Å, b = 3.472 Å, c = 12.413 Å
α = 81.96°, β = 81.96°, γ = 60.00°
Fractional coordinates of all 4 atoms:
Pb 0.085 0.085 0.744
Pb 0.915 0.915 0.256
Lu 0.000 0.000 0.000
Bi 0.500 0.500 0.500

***

Model Q:
Compound: LuBiPb2
Source: the Alexandria database
Functional: PBE-GGA
Structure: relaxed

## Properties
M_tot	0.00	μB per formula unit

a = 5.005 Å, b = 4.836 Å, c = 4.836 Å
α = 90.00°, β = 90.00°, γ = 90.00°
Fractional coordinates of all 4 atoms:
Pb 0.000 0.000 0.500
Pb 0.000 0.500 0.000
Lu 0.500 0.500 0.500
Bi 0.500 0.000 0.000

***

Last place for stability: model P

***

Model P:
Compound: PmLu2Bi
Source: the Alexandria database
Functional: PBE-GGA
Structure: relaxed

## Properties
M_tot	0.00	μB per formula unit

a = 3.986 Å, b = 3.986 Å, c = 7.475 Å
α = 90.00°, β = 90.00°, γ = 90.00°
Fractional coordinates of all 4 atoms:
Lu 0.000 0.000 0.727
Lu 0.000 0.000 0.273
Bi 0.500 0.500 0.500
Pm 0.500 0.500 0.000

***

Model Q:
Compound: PmLu2Bi
Source: the Alexandria database
Functional: PBE-GGA
Structure: relaxed

## Properties
M_tot	0.21	μB per formula unit

a = 4.875 Å, b = 4.856 Å, c = 4.856 Å
α = 90.00°, β = 90.00°, γ = 90.00°
Last column: magnetic moment on the atom in μB.
Fractional coordinates of all 4 atoms:
Lu 0.000 0.000 0.500  0.06
Lu 0.000 0.500 0.000  0.06
Bi 0.500 0.000 0.000  0.00
Pm 0.500 0.500 0.500  0.02

***

Last place for stability: model P

***

Model P:
Compound: PrLu2Bi
Source: the Alexandria database
Functional: PBE-GGA
Structure: relaxed

## Properties
M_tot	0.02	μB per formula unit

a = 4.900 Å, b = 4.890 Å, c = 4.890 Å
α = 90.00°, β = 90.00°, γ = 90.00°
Fractional coordinates of all 4 atoms:
Pr 0.500 0.000 0.000
Lu 0.000 0.000 0.500
Lu 0.000 0.500 0.000
Bi 0.500 0.500 0.500

***

Model Q:
Compound: PrLu2Bi
Source: the Alexandria database
Functional: PBE-GGA
Structure: relaxed

## Properties
M_tot	0.00	μB per formula unit

a = 3.989 Å, b = 3.989 Å, c = 7.572 Å
α = 90.00°, β = 90.00°, γ = 90.00°
Fractional coordinates of all 4 atoms:
Pr 0.500 0.500 0.000
Lu 0.000 0.000 0.723
Lu 0.000 0.000 0.277
Bi 0.500 0.500 0.500

***

Last place for stability: model Q

***

Model P:
Compound: LuPuBi2
Source: the Alexandria database
Functional: PBE-GGA
Structure: relaxed

## Properties
M_tot	5.16	μB per formula unit

a = 4.483 Å, b = 4.483 Å, c = 7.734 Å
α = 73.15°, β = 73.15°, γ = 60.00°
Last column: magnetic moment on the atom in μB.
Fractional coordinates of all 4 atoms:
Lu 0.500 0.500 0.500  0.09
Bi 0.247 0.247 0.258  0.11
Bi 0.753 0.753 0.742  0.11
Pu 0.000 0.000 0.000  -5.29

***

Model Q:
Compound: LuPuBi2
Source: the Alexandria database
Functional: PBE-GGA
Structure: relaxed

## Properties
M_tot	5.99	μB per formula unit

a = 3.397 Å, b = 5.813 Å, c = 5.813 Å
α = 90.00°, β = 90.00°, γ = 90.00°
Last column: magnetic moment on the atom in μB.
Fractional coordinates of all 4 atoms:
Lu 0.500 0.000 0.000  -0.19
Bi 0.000 0.000 0.500  0.08
Bi 0.000 0.500 0.000  0.08
Pu 0.500 0.500 0.500  -5.53

***

Model R:
Compound: LuPuBi2
Source: the Alexandria database
Functional: PBE-GGA
Structure: relaxed

## Properties
M_tot	5.93	μB per formula unit

a = 5.459 Å, b = 5.459 Å, c = 5.459 Å
α = 60.00°, β = 60.00°, γ = 60.00°
Last column: magnetic moment on the atom in μB.
Fractional coordinates of all 4 atoms:
Lu 0.000 0.000 0.000  0.11
Bi 0.250 0.250 0.250  -0.06
Bi 0.750 0.750 0.750  -0.06
Pu 0.500 0.500 0.500  5.50

***

Last place for stability: model R

***

Model P:
Compound: Lu2PuBi
Source: the Alexandria database
Functional: PBE-GGA
Structure: relaxed

## Properties
M_tot	6.73	μB per formula unit

a = 4.649 Å, b = 4.862 Å, c = 4.862 Å
α = 90.00°, β = 90.00°, γ = 90.00°
Last column: magnetic moment on the atom in μB.
Fractional coordinates of all 4 atoms:
Lu 0.000 0.000 0.500  0.30
Lu 0.000 0.500 0.000  0.30
Bi 0.500 0.000 0.000  -0.06
Pu 0.500 0.500 0.500  5.61

***

Model Q:
Compound: Lu2PuBi
Source: the Alexandria database
Functional: PBE-GGA
Structure: relaxed

## Properties
M_tot	6.82	μB per formula unit

a = 3.956 Å, b = 3.956 Å, c = 7.194 Å
α = 90.00°, β = 90.00°, γ = 90.00°
Last column: magnetic moment on the atom in μB.
Fractional coordinates of all 4 atoms:
Lu 0.000 0.000 0.765  -0.27
Lu 0.000 0.000 0.235  -0.27
Bi 0.500 0.500 0.000  0.03
Pu 0.500 0.500 0.500  -5.59

***

Last place for stability: model Q

***

Model P:
Compound: LuSnBi
Source: the Alexandria database
Functional: PBE-GGA
Structure: relaxed

## Properties
M_tot	0.00	μB per formula unit

a = 3.294 Å, b = 5.467 Å, c = 5.467 Å
α = 120.00°, β = 90.00°, γ = 90.00°
Fractional coordinates of all 3 atoms:
Lu 0.331 0.333 0.667
Bi 0.828 0.667 0.333
Sn 0.841 0.000 0.000

***

Model Q:
Compound: LuSnBi
Source: the Alexandria database
Functional: PBE-GGA
Structure: relaxed

## Properties
M_tot	0.00	μB per formula unit

a = 4.002 Å, b = 4.002 Å, c = 5.858 Å
α = 109.97°, β = 109.97°, γ = 90.00°
Fractional coordinates of all 3 atoms:
Lu 0.000 0.000 0.999
Bi 0.342 0.342 0.684
Sn 0.658 0.658 0.316

***

Last place for stability: model P